No. 1
A plane-wave DFT calculation with GGA-PBE was carried out for a relaxed V2CdGe2 crystal.

Structure (POSCAR):
```
V2CdGe2
1.0
7.300 0.000 0.000
0.000 7.300 0.000
0.000 0.000 3.042
V Cd Ge
4 2 4
Cartesian
0.857 2.794 0.000
2.794 6.444 0.000
4.507 0.857 0.000
6.444 4.507 0.000
0.000 0.000 0.000
3.650 3.650 0.000
1.270 4.920 1.521
2.380 1.270 1.521
4.920 6.031 1.521
6.031 2.380 1.521
```

Results
The energy above the most stable polymorph in this dataset is 0 meV per atom. The calculation puts the energy of formation from the pure elements at 27 meV per atom. As for the energy: -5.650 eV per atom. The crystal system is tetragonal. Its symmetry is P4/mbm (127). As for the density of states at the Fermi level: 2.48 states/eV/f.u.

---

No. 2
A plane-wave DFT calculation with GGA-PBE was carried out for a relaxed LaCd3Hg3 crystal.

Structure (POSCAR):
```
LaCd3Hg3
1.0
7.735 0.000 0.000
0.000 7.735 0.000
0.000 0.000 7.735
La Cd Hg
2 6 6
Cartesian
0.000 0.000 0.000
3.867 3.867 3.867
0.000 1.934 3.867
0.000 5.801 3.867
1.934 3.867 0.000
3.867 0.000 1.934
3.867 0.000 5.801
5.801 3.867 0.000
0.000 3.867 1.934
0.000 3.867 5.801
1.934 0.000 3.867
3.867 1.934 0.000
3.867 5.801 0.000
5.801 0.000 3.867
```

Results
The energy above the most stable polymorph in this dataset is 163 meV per atom. The calculation puts the energy of formation from the pure elements at 252 meV per atom. As for the energy: -0.974 eV per atom. The crystal system is cubic. Its symmetry is Pm-3n (223). As for the density of states at the Fermi level: 8.28 states/eV/f.u.

---

No. 3
A plane-wave DFT calculation with GGA-PBE was carried out for a relaxed Rb2SiTeF6 crystal.

Structure (POSCAR):
```
Rb2SiTeF6
1.0
-3.607 3.607 4.069
3.607 -3.607 4.069
3.607 3.607 -4.069
Rb Si Te F
2 1 1 6
Cartesian
3.607 0.000 2.035
0.000 3.607 2.035
0.000 0.000 0.000
0.000 0.000 4.069
1.198 1.198 0.000
2.409 -2.409 4.069
0.000 0.000 1.769
0.000 0.000 6.370
-2.409 2.409 4.069
2.409 2.409 4.069
```

Results
As for the energy: -4.704 eV per atom. The crystal system is tetragonal. Its symmetry is I4/mmm (139). As for the density of states at the Fermi level: 0.00 states/eV/f.u. The value obtained for the uncorrected formation energy is -2.5310 eV/atom.

---

No. 4
A plane-wave DFT calculation with GGA-PBE was carried out for a relaxed Ho5ZrSb4 crystal.

Structure (POSCAR):
```
Ho5ZrSb4
1.0
9.164 -2.106 0.000
9.164 2.106 0.000
-2.207 0.000 7.934
Ho Zr Sb
5 1 4
Cartesian
0.000 0.000 0.000
5.563 0.000 1.167
4.625 0.000 5.446
11.497 0.000 2.488
10.559 0.000 6.767
-1.103 0.000 3.967
1.751 0.000 4.602
8.478 0.000 1.989
7.644 0.000 5.946
14.371 0.000 3.333
```

Results
As for the energy: -5.425 eV per atom. The crystal system is monoclinic. Its symmetry is C2/m (12). As for the density of states at the Fermi level: 5.54 states/eV/f.u. The value obtained for the uncorrected formation energy is -0.6323 eV/atom.